A plane-wave DFT calculation with PBE was carried out for a geometry-optimized TaFeNiIr structure.

Unit cell a=3.756 b=3.772 c=3.821 alpha=90.00 beta=90.00 gamma=90.00
Atoms (fractional coordinates):
Ta (0.000, 0.000, 0.000)
Fe (0.500, 0.500, 0.000)
Ni (0.500, 0.000, 0.500)
Ir (0.000, 0.500, 0.500)

Output
E above lowest polymorph: 0.0 meV per atom
DFT total energy: -9.1305 eV per atom
formation energy from the elements: -0.3911 eV/atom

A plane-wave DFT calculation with PBE was carried out for a geometry-optimized In2SeS structure.

Unit cell a=8.018 b=8.018 c=8.018 alpha=133.53 beta=133.53 gamma=67.82
Atoms (fractional coordinates):
In (0.110, 0.625, 0.985)
In (0.375, 0.360, 0.485)
In (0.640, 0.125, 0.015)
In (0.875, 0.890, 0.515)
Se (0.250, 0.750, 0.500)
Se (0.500, 0.500, 0.000)
S (0.000, 0.000, 0.000)
S (0.750, 0.250, 0.500)

Output
E above lowest polymorph: 155.3 meV per atom
DFT total energy: -3.5441 eV per atom
energy relative to the elements, uncorrected: -0.27 eV per atom

A plane-wave DFT calculation with PBE was carried out for a geometry-optimized Li4SmNp3Te8 structure.

Unit cell a=8.678 b=8.678 c=8.678 alpha=60.84 beta=60.84 gamma=60.84
Atoms (fractional coordinates):
Li (0.000, 0.000, 0.000)
Li (0.000, 0.500, 0.500)
Li (0.500, 0.000, 0.500)
Li (0.500, 0.500, 0.000)
Sm (0.500, 0.500, 0.500)
Np (0.000, 0.000, 0.500)
Np (0.000, 0.500, 0.000)
Np (0.500, 0.000, 0.000)
Te (0.246, 0.246, 0.748)
Te (0.246, 0.748, 0.246)
Te (0.252, 0.252, 0.252)
Te (0.252, 0.754, 0.754)
Te (0.748, 0.246, 0.246)
Te (0.748, 0.748, 0.748)
Te (0.754, 0.252, 0.754)
Te (0.754, 0.754, 0.252)

Output
DFT total energy: -5.6825 eV per atom
energy relative to the elements, uncorrected: -0.91 eV per atom

A plane-wave DFT calculation with PBE was carried out for a geometry-optimized LaTb2Er structure.

Unit cell a=11.906 b=11.906 c=11.906 alpha=17.36 beta=17.36 gamma=17.36
Atoms (fractional coordinates):
La (0.000, 0.000, 0.000)
Tb (0.248, 0.248, 0.248)
Tb (0.752, 0.752, 0.752)
Er (0.500, 0.500, 0.500)

Output
E above lowest polymorph: 15.6 meV per atom
DFT total energy: -4.6645 eV per atom
formation energy from the elements: 0.0232 eV/atom

A plane-wave DFT calculation with PBE was carried out for a geometry-optimized Ac6Pr2Ho3 structure.

Unit cell a=6.614 b=6.614 c=12.128 alpha=95.01 beta=95.01 gamma=119.82
Atoms (fractional coordinates):
Ac (0.087, 0.419, 0.753)
Ac (0.245, 0.245, 0.251)
Ac (0.419, 0.087, 0.753)
Ac (0.581, 0.913, 0.247)
Ac (0.755, 0.755, 0.749)
Ac (0.913, 0.581, 0.247)
Pr (0.331, 0.669, 0.500)
Pr (0.669, 0.331, 0.500)
Ho (0.166, 0.834, 0.000)
Ho (0.500, 0.500, 0.000)
Ho (0.834, 0.166, 0.000)

Output
DFT total energy: -4.1733 eV per atom
formation energy from the elements: 0.1851 eV/atom

A plane-wave DFT calculation with PBE was carried out for a geometry-optimized Ca2Sc2Al structure.

Unit cell a=7.445 b=7.445 c=5.384 alpha=90.00 beta=90.00 gamma=90.00
Atoms (fractional coordinates):
Ca (0.170, 0.330, 0.000)
Ca (0.330, 0.830, 0.000)
Ca (0.670, 0.170, 0.000)
Ca (0.830, 0.670, 0.000)
Sc (0.146, 0.646, 0.500)
Sc (0.354, 0.146, 0.500)
Sc (0.646, 0.854, 0.500)
Sc (0.854, 0.354, 0.500)
Al (0.000, 0.000, 0.500)
Al (0.500, 0.500, 0.500)

Output
DFT total energy: -3.9211 eV per atom
formation energy from the elements: 0.1607 eV/atom